Density functional theory data (PBE) for a relaxed CsRb3Zn2F9 crystal.

a b c (Å): 6.0545 6.0545 9.0227
angles (deg): 90.00 90.00 120.00
Fractional coordinates of all 15 atoms:
Cs (0.0000, 0.0000, 0.5000)
Rb (0.3333, 0.6667, 0.7424)
Rb (0.0000, 0.0000, 0.0000)
Rb (0.6667, 0.3333, 0.2576)
Zn (0.3333, 0.6667, 0.1371)
Zn (0.6667, 0.3333, 0.8629)
F (0.8230, 0.1770, 0.7432)
F (0.8230, 0.6460, 0.7432)
F (0.3540, 0.1770, 0.7432)
F (0.6460, 0.8230, 0.2568)
F (0.1770, 0.3540, 0.2568)
F (0.1770, 0.8230, 0.2568)
F (0.5000, 0.0000, 0.0000)
F (0.0000, 0.5000, 0.0000)
F (0.5000, 0.5000, 0.0000)

Output
- total DFT energy (no corrections) (eV/atom) = -3.96
- DOS at the Fermi energy (states/eV/f.u.) = 6.886
- uncorrected formation energy (eV per atom) = -2.4209